(1)
Material: LiCuRe2F
Method: DFT, PBE
State: relaxed

POSCAR file:
```
LiCuRe2F
1.0
4.246 0.000 0.000
0.000 4.246 0.000
0.000 0.000 3.863
Li Cu Re F
1 1 2 1
direct
0.000 0.000 0.000
0.000 0.000 0.500
0.000 0.500 0.000
0.500 0.000 0.000
0.500 0.500 0.500
```

Values from the calculation:
DOS at the Fermi energy: 4.93 states/eV/cell
volume: 70 Å³/cell
energy: -4.80 eV/atom
symmetry: P4/mmm

(2)
Material: LiCuReF2
Method: DFT, PBE
State: relaxed

POSCAR file:
```
LiCuReF2
1.0
3.995 0.000 0.000
0.000 3.995 0.000
0.000 0.000 5.211
Li Cu Re F
1 1 1 2
direct
0.000 0.000 0.000
0.500 0.500 0.500
0.500 0.500 0.000
0.000 0.500 0.500
0.500 0.000 0.500
```

Values from the calculation:
DOS at the Fermi energy: 4.09 states/eV/cell
volume: 83 Å³/cell
energy: -4.25 eV/atom
symmetry: P4/mmm

(3)
Material: Li2CuRhF6
Method: DFT, PBE
State: relaxed

POSCAR file:
```
Li2CuRhF6
1.0
2.607 1.505 4.820
-2.607 1.505 4.820
0.000 -3.011 4.820
Li Cu Rh F
2 1 1 6
direct
0.000 0.000 0.000
0.487 0.487 0.487
0.199 0.199 0.199
0.692 0.692 0.692
0.094 0.422 0.789
0.292 0.914 0.609
0.423 0.789 0.094
0.609 0.292 0.914
0.789 0.094 0.422
0.914 0.609 0.292
```

Values from the calculation:
volume: 114 Å³/cell
energy: -4.65 eV/atom
symmetry: R3

(4)
Material: LiCu2RhF8
Method: DFT, PBE
State: relaxed

POSCAR file:
```
LiCu2RhF8
1.0
-2.539 2.539 5.096
2.539 -2.539 5.096
2.539 2.539 -5.096
Li Cu Rh F
1 2 1 8
direct
0.000 0.000 0.000
0.500 0.500 0.000
0.750 0.250 0.500
0.250 0.750 0.500
0.081 0.082 0.443
0.176 0.618 0.037
0.361 0.919 0.001
0.382 0.419 0.558
0.581 0.139 0.963
0.640 0.639 0.557
0.861 0.824 0.442
0.918 0.360 0.999
```

Values from the calculation:
DOS at the Fermi energy: 6.48 states/eV/cell
volume: 131 Å³/cell
energy: -4.25 eV/atom
symmetry: I-4

(5)
Material: LiCuRhF6
Method: DFT, PBE
State: relaxed

POSCAR file:
```
LiCuRhF6
1.0
5.102 0.000 0.000
-2.551 4.418 0.000
0.000 0.000 9.089
Li Cu Rh F
2 2 2 12
direct
0.333 0.667 0.250
0.667 0.333 0.750
0.000 0.000 0.000
0.000 0.000 0.500
0.333 0.667 0.750
0.667 0.333 0.250
0.004 0.341 0.629
0.004 0.663 0.871
0.337 0.341 0.871
0.337 0.996 0.629
0.341 0.004 0.129
0.341 0.337 0.371
0.659 0.663 0.629
0.659 0.996 0.871
0.663 0.004 0.371
0.663 0.659 0.129
0.996 0.337 0.129
0.996 0.659 0.371
```

Values from the calculation:
DOS at the Fermi energy: 8.45 states/eV/cell
volume: 205 Å³/cell
energy: -4.58 eV/atom
symmetry: P-31c

(6)
Material: Li2CuRhF8
Method: DFT, PBE
State: relaxed

POSCAR file:
```
Li2CuRhF8
1.0
4.676 0.000 0.000
0.000 6.359 0.000
-0.308 0.000 4.675
Li Cu Rh F
2 1 1 8
direct
0.000 0.236 0.000
0.000 0.764 0.000
0.500 0.000 0.500
0.500 0.500 0.500
0.198 0.500 0.196
0.208 0.000 0.206
0.309 0.267 0.689
0.309 0.733 0.689
0.691 0.267 0.311
0.691 0.733 0.311
0.792 0.000 0.794
0.802 0.500 0.804
```

Values from the calculation:
DOS at the Fermi energy: 10.81 states/eV/cell
volume: 139 Å³/cell
energy: -4.53 eV/atom
symmetry: P2/m

(7)
Material: Li2CuRuF
Method: DFT, PBE
State: relaxed

POSCAR file:
```
Li2CuRuF
1.0
4.620 0.000 0.000
0.000 4.620 0.000
0.000 0.000 4.621
Li Cu Ru F
2 1 1 1
direct
0.000 0.500 0.000
0.500 0.000 0.000
0.000 0.000 0.000
0.000 0.000 0.500
0.500 0.500 0.500
```

Values from the calculation:
DOS at the Fermi energy: 3.97 states/eV/cell
volume: 99 Å³/cell
energy: -3.44 eV/atom
symmetry: P4/mmm

(8)
Material: LiCuRuF6
Method: DFT, PBE
State: relaxed

POSCAR file:
```
LiCuRuF6
1.0
4.732 0.000 0.000
0.000 4.732 0.000
0.000 0.000 9.571
Li Cu Ru F
2 2 2 12
direct
0.000 0.000 0.000
0.500 0.500 0.500
0.000 0.000 0.671
0.500 0.500 0.171
0.000 0.000 0.332
0.500 0.500 0.832
0.194 0.194 0.172
0.195 0.195 0.491
0.206 0.206 0.837
0.294 0.706 0.337
0.305 0.695 0.991
0.306 0.694 0.672
0.694 0.306 0.672
0.695 0.305 0.991
0.706 0.294 0.337
0.794 0.794 0.837
0.805 0.805 0.491
0.806 0.806 0.172
```

Values from the calculation:
DOS at the Fermi energy: 10.78 states/eV/cell
volume: 214 Å³/cell
energy: -4.84 eV/atom
symmetry: P4_2nm

- Among the records above, which one has the lowest energy?
  LiCuRuF6